First-principles (PBE-GGA) data for a geometry-optimized NaNd2P3Pt12 structure, as listed in the Alexandria database.

Lattice parameters (Å, degrees): 7.4324 7.4324 7.4324 69.66 69.66 69.66
With the nearest neighbours (Å) after each atom.
Sites, in units of the cell vectors:
Na  0.0000  0.0000  0.0000  6 Pt 2.58
Nd  0.6076  0.6076  0.6076  6 Pt 2.83-3.10
Nd  0.3924  0.3924  0.3924  6 Pt 2.83-3.10
P  0.5000  0.0000  0.0000  6 Pt 2.25-2.34
P  0.0000  0.5000  0.0000  6 Pt 2.25-2.34
P  0.0000  0.0000  0.5000  6 Pt 2.25-2.34
Pt  0.3349  0.3349  0.8957  2 P 2.34
Pt  0.8608  0.8608  0.3757  1 P 2.25
Pt  0.3757  0.8608  0.8608  1 P 2.25
Pt  0.8957  0.3349  0.3349  2 P 2.34
Pt  0.8608  0.3757  0.8608  1 P 2.25
Pt  0.3349  0.8957  0.3349  2 P 2.34
Pt  0.6651  0.6651  0.1043  2 P 2.34
Pt  0.1392  0.1392  0.6243  1 P 2.25
Pt  0.6243  0.1392  0.1392  1 P 2.25
Pt  0.1043  0.6651  0.6651  2 P 2.34
Pt  0.1392  0.6243  0.1392  1 P 2.25
Pt  0.6651  0.1043  0.6651  2 P 2.34

Total moment, μB per atom: 0.000
D(E_F), states/eV/atom: 0.27
VASP energy, eV for the cell shown: -106.42
Formation enthalpy at 0 K, eV per atom: -0.380